The following is a DFT calculation (SCAN) of a crystal of TlCr2Ru relaxed with PBEsol.

The structure in POSCAR format:
```
TlCr2Ru
1.0
1.393 0.804 8.656
-1.393 0.804 8.656
0.000 -1.608 8.656
Tl Cr Ru
1 2 1
direct
0.000 0.000 0.000
0.243 0.243 0.243
0.757 0.757 0.757
0.500 0.500 0.500
```

## Properties
**Formation energy from the elements**: 3.146 eV per formula unit
**DOS at the Fermi energy**: 0.95 states/eV per atom
**Spin magnetization**: 0.00 μB per cell
**Calculated density**: 11.7 g/cm3
**Raw total energy**: -35.202 eV/atom

The following is a DFT calculation (SCAN) of a crystal of TlCrRu2 relaxed with PBEsol.

The structure in POSCAR format:
```
TlCrRu2
1.0
3.089 0.000 0.000
0.000 3.089 0.000
0.000 0.000 6.320
Tl Cr Ru
1 1 2
direct
0.000 0.000 0.000
0.500 0.500 0.301
0.000 0.000 0.462
0.500 0.500 0.717
```

## Properties
**Formation energy from the elements**: 2.549 eV per formula unit
**DOS at the Fermi energy**: 1.13 states/eV per atom
**Spin magnetization**: 0.00 μB per cell
**Relative energy among the computed polymorphs**: 0.188 eV/atom
**Calculated density**: 12.6 g/cm3
**Raw total energy**: -39.462 eV/atom